*i*
Entry from the Alexandria database: a relaxed NaPrTlPb crystal (PBE).

Computed properties:
As for the crystal system: orthorhombic. The density of states at the Fermi level comes out at 2.37 states/eV/f.u.

Cell lengths 4.4437, 5.0100, 5.2474 Å; angles 90.00, 90.00, 90.00 degrees
Fractional coordinates of all 4 atoms:
Pr1 0.0000 0.5000 0.5000
Tl1 0.5000 0.5000 0.0000
Na1 0.0000 0.0000 0.0000
Pb1 0.5000 0.0000 0.5000



*ii*
Entry from the Alexandria database: a relaxed NaPrTlPb crystal (PBE).

Computed properties:
As for the crystal system: cubic. The density of states at the Fermi level comes out at 2.62 states/eV/f.u.

Cell lengths 5.5041, 5.5041, 5.5041 Å; angles 60.00, 60.00, 60.00 degrees
Fractional coordinates of all 4 atoms:
Tl1 0.2500 0.2500 0.2500
Pr1 0.5000 0.5000 0.5000
Pb1 0.7500 0.7500 0.7500
Na1 0.0000 0.0000 0.0000



*i* is favored, and the nearest alternative lies 47 meV/atom above it.



*i*
Entry from the Alexandria database: a relaxed Na2PtPb2 crystal (PBE).

Computed properties:
As for the crystal system: tetragonal. The density of states at the Fermi level comes out at 2.57 states/eV/f.u.

Cell lengths 7.2314, 7.2314, 5.2072 Å; angles 90.00, 90.00, 90.00 degrees
Fractional coordinates of all 10 atoms:
Pb1 0.6489 0.1489 0.0000
Pb2 0.1489 0.3511 0.0000
Pb3 0.3511 0.8511 0.0000
Pb4 0.8511 0.6489 0.0000
Pt1 0.0000 0.0000 0.0000
Pt2 0.5000 0.5000 0.0000
Na1 0.6712 0.8288 0.5000
Na2 0.8288 0.3288 0.5000
Na3 0.3288 0.1712 0.5000
Na4 0.1712 0.6712 0.5000



*ii*
Entry from the Alexandria database: a relaxed Na2PtPb2 crystal (PBE).

Computed properties:
As for the crystal system: monoclinic. The density of states at the Fermi level comes out at 2.17 states/eV/f.u.

Cell lengths 5.9308, 5.9308, 8.9686 Å; angles 104.17, 104.17, 109.00 degrees
Fractional coordinates of all 10 atoms:
Pt1 0.7535 0.2465 0.0000
Pt2 0.2465 0.7535 0.0000
Pb1 0.5928 0.2026 0.2647
Pb2 0.7974 0.4072 0.7353
Pb3 0.4072 0.7974 0.7353
Pb4 0.2026 0.5928 0.2647
Na1 0.7847 0.7847 0.0771
Na2 0.7794 0.7794 0.5183
Na3 0.2153 0.2153 0.9229
Na4 0.2206 0.2206 0.4817



*iii*
Entry from the Alexandria database: a relaxed Na2PtPb2 crystal (PBE).

Computed properties:
As for the crystal system: orthorhombic. The density of states at the Fermi level comes out at 2.72 states/eV/f.u.

Cell lengths 5.8699, 6.6481, 8.0847 Å; angles 114.28, 111.29, 90.00 degrees
Fractional coordinates of all 10 atoms:
Na1 0.4054 0.0606 0.8108
Na2 0.0946 0.2498 0.1892
Na3 0.9054 0.7502 0.8108
Na4 0.5946 0.9394 0.1892
Pb1 0.8329 0.1900 0.6658
Pb2 0.1671 0.8100 0.3342
Pb3 0.3329 0.4758 0.6658
Pb4 0.6671 0.5242 0.3342
Pt1 0.7500 0.5000 0.0000
Pt2 0.2500 0.5000 0.0000



*iii* is favored, and the nearest alternative lies 12 meV/atom above it.



*i*
Entry from the Alexandria database: a relaxed NaPt2Pb2 crystal (PBE).

Computed properties:
As for the crystal system: tetragonal. The density of states at the Fermi level comes out at 2.86 states/eV/f.u.

Cell lengths 7.8905, 7.8905, 3.6063 Å; angles 90.00, 90.00, 90.00 degrees
Fractional coordinates of all 10 atoms:
Pt1 0.1316 0.3684 0.0000
Pt2 0.6316 0.1316 0.0000
Pt3 0.8684 0.6316 0.0000
Pt4 0.3684 0.8684 0.0000
Pb1 0.8364 0.3364 0.5000
Pb2 0.3364 0.1636 0.5000
Pb3 0.1636 0.6636 0.5000
Pb4 0.6636 0.8364 0.5000
Na1 0.0000 0.0000 0.0000
Na2 0.5000 0.5000 0.0000



*ii*
Entry from the Alexandria database: a relaxed NaPt2Pb2 crystal (PBE).

Computed properties:
As for the crystal system: tetragonal. The density of states at the Fermi level comes out at 2.17 states/eV/f.u.

Cell lengths 4.0343, 4.0343, 8.1243 Å; angles 75.62, 75.62, 90.00 degrees
Fractional coordinates of all 5 atoms:
Pt1 0.7500 0.2500 0.5000
Pt2 0.2500 0.7500 0.5000
Pb1 0.3780 0.3780 0.2439
Pb2 0.6220 0.6220 0.7561
Na1 0.0000 0.0000 0.0000



*iii*
Entry from the Alexandria database: a relaxed NaPt2Pb2 crystal (PBE).

Computed properties:
As for the crystal system: tetragonal. The density of states at the Fermi level comes out at 1.94 states/eV/f.u.

Cell lengths 4.8800, 4.8800, 6.4023 Å; angles 67.60, 67.60, 90.00 degrees
Fractional coordinates of all 5 atoms:
Na1 0.0000 0.0000 0.0000
Pb1 0.2500 0.7500 0.5000
Pb2 0.7500 0.2500 0.5000
Pt1 0.3793 0.3793 0.2415
Pt2 0.6207 0.6207 0.7585



*i* is favored, and the nearest alternative lies 16 meV/atom above it.



*i*
Entry from the Alexandria database: a relaxed NaPt3Pb3 crystal (PBE).

Computed properties:
As for the crystal system: cubic. The density of states at the Fermi level comes out at 2.90 states/eV/f.u.

Cell lengths 7.6230, 7.6230, 7.6230 Å; angles 90.00, 90.00, 90.00 degrees
Fractional coordinates of all 14 atoms:
Na1 0.5000 0.5000 0.5000
Na2 0.0000 0.0000 0.0000
Pb1 0.2500 0.0000 0.5000
Pb2 0.0000 0.5000 0.7500
Pb3 0.5000 0.2500 0.0000
Pb4 0.7500 0.0000 0.5000
Pb5 0.0000 0.5000 0.2500
Pb6 0.5000 0.7500 0.0000
Pt1 0.2500 0.5000 0.0000
Pt2 0.0000 0.2500 0.5000
Pt3 0.5000 0.0000 0.2500
Pt4 0.0000 0.7500 0.5000
Pt5 0.7500 0.5000 0.0000
Pt6 0.5000 0.0000 0.7500



*ii*
Entry from the Alexandria database: a relaxed NaPt3Pb3 crystal (PBE).

Computed properties:
As for the crystal system: trigonal. The density of states at the Fermi level comes out at 2.13 states/eV/f.u.

Cell lengths 8.4146, 8.4146, 7.3561 Å; angles 55.11, 55.11, 60.00 degrees
Fractional coordinates of all 14 atoms:
Pb1 0.6116 0.1968 0.3013
Pb2 0.8032 0.1097 0.6987
Pb3 0.8903 0.6116 0.3013
Pb4 0.1097 0.3884 0.6987
Pb5 0.3884 0.8032 0.6987
Pb6 0.1968 0.8903 0.3013
Na1 0.3367 0.3367 0.9900
Na2 0.6633 0.6633 0.0100
Pt1 0.2982 0.5644 0.1946
Pt2 0.5644 0.9428 0.1946
Pt3 0.0572 0.7018 0.8054
Pt4 0.9428 0.2982 0.1946
Pt5 0.4356 0.0572 0.8054
Pt6 0.7018 0.4356 0.8054



*ii* is favored, and the nearest alternative lies 228 meV/atom above it.



*i*
Entry from the Alexandria database: a relaxed Na6PtPb2 crystal (PBE).

Computed properties:
As for the crystal system: trigonal. The density of states at the Fermi level comes out at 4.51 states/eV/f.u.

Cell lengths 5.3752, 5.3752, 10.7385 Å; angles 75.51, 75.51, 60.00 degrees
Fractional coordinates of all 9 atoms:
Na1 0.1928 0.1928 0.4215
Na2 0.5856 0.5856 0.2433
Na3 0.4144 0.4144 0.7567
Na4 0.3069 0.3069 0.0792
Na5 0.6931 0.6931 0.9208
Na6 0.8072 0.8072 0.5785
Pb1 0.0870 0.0870 0.7391
Pb2 0.9130 0.9130 0.2609
Pt1 0.0000 0.0000 0.0000



*ii*
Entry from the Alexandria database: a relaxed Na6PtPb2 crystal (PBE).

Computed properties:
As for the crystal system: monoclinic. The density of states at the Fermi level comes out at 4.66 states/eV/f.u.

Cell lengths 3.8585, 9.1277, 9.1277 Å; angles 123.80, 83.00, 83.00 degrees
Fractional coordinates of all 9 atoms:
Na1 0.7890 0.4905 0.1499
Na2 0.6822 0.7033 0.7033
Na3 0.2110 0.5095 0.8501
Na4 0.3178 0.2967 0.2967
Na5 0.7890 0.1499 0.4905
Na6 0.2110 0.8501 0.5095
Pt1 0.0000 0.0000 0.0000
Pb1 0.5000 0.1306 0.8694
Pb2 0.5000 0.8694 0.1306



*i* is favored, and the nearest alternative lies 37 meV/atom above it.



*i*
Entry from the Alexandria database: a relaxed RbNa3Pb crystal (PBE).

Computed properties:
As for the crystal system: monoclinic. The density of states at the Fermi level comes out at 2.71 states/eV/f.u.

Cell lengths 5.6363, 8.0266, 10.1638 Å; angles 60.65, 90.01, 90.01 degrees
Fractional coordinates of all 10 atoms:
Pb1 0.3811 0.9259 0.6240
Pb2 0.8810 0.7487 0.1830
Na1 0.3810 0.8101 0.3308
Na2 0.3807 0.4875 0.7715
Na3 0.8807 0.1875 0.0329
Na4 0.8810 0.7517 0.8535
Na5 0.8810 0.8645 0.4760
Na6 0.3809 0.9234 0.9534
Rb1 0.8813 0.2930 0.5800
Rb2 0.3813 0.3817 0.2252



*ii*
Entry from the Alexandria database: a relaxed RbNa3Pb crystal (PBE).

Computed properties:
As for the crystal system: cubic. The density of states at the Fermi level comes out at 4.57 states/eV/f.u.

Cell lengths 6.0973, 6.0973, 6.0973 Å; angles 90.00, 90.00, 90.00 degrees
Fractional coordinates of all 5 atoms:
Pb1 0.5000 0.5000 0.5000
Na1 0.0000 0.5000 0.0000
Na2 0.5000 0.0000 0.0000
Na3 0.0000 0.0000 0.5000
Rb1 0.0000 0.0000 0.0000



*iii*
Entry from the Alexandria database: a relaxed RbNa3Pb crystal (PBE).

Computed properties:
As for the crystal system: monoclinic. The density of states at the Fermi level comes out at 2.79 states/eV/f.u.

Cell lengths 7.9927, 10.6106, 10.6106 Å; angles 70.70, 78.95, 78.95 degrees
Fractional coordinates of all 20 atoms:
Pb1 0.1981 0.7701 0.4150
Pb2 0.8019 0.2299 0.5850
Pb3 0.3019 0.5850 0.2299
Pb4 0.6981 0.4150 0.7701
Na1 0.5820 0.9822 0.6531
Na2 0.4094 0.6768 0.6746
Na3 0.5906 0.3232 0.3254
Na4 0.3991 0.3592 0.0315
Na5 0.1009 0.9685 0.6408
Na6 0.0820 0.6531 0.9822
Na7 0.6009 0.6408 0.9685
Na8 0.8991 0.0315 0.3592
Na9 0.0906 0.3254 0.3232
Na10 0.9180 0.3469 0.0178
Na11 0.9094 0.6746 0.6768
Na12 0.4180 0.0178 0.3469
Rb1 0.7500 0.0353 0.9647
Rb2 0.7500 0.6388 0.3612
Rb3 0.2500 0.9647 0.0353
Rb4 0.2500 0.3612 0.6388



*i* is favored, and the nearest alternative lies 30 meV/atom above it.



*i*
Entry from the Alexandria database: a relaxed Rb2NaPb2 crystal (PBE).

Computed properties:
As for the crystal system: tetragonal. The density of states at the Fermi level comes out at 3.90 states/eV/f.u.

Cell lengths 5.5904, 5.5904, 8.7821 Å; angles 71.44, 71.44, 90.00 degrees
Fractional coordinates of all 5 atoms:
Rb1 0.2500 0.7500 0.5000
Rb2 0.7500 0.2500 0.5000
Na1 0.0000 0.0000 0.0000
Pb1 0.5891 0.5891 0.8218
Pb2 0.4109 0.4109 0.1782



*ii*
Entry from the Alexandria database: a relaxed Rb2NaPb2 crystal (PBE).

Computed properties:
As for the crystal system: monoclinic. The density of states at the Fermi level comes out at 2.77 states/eV/f.u.

Cell lengths 7.4529, 7.4360, 9.9512 Å; angles 99.92, 90.00, 120.07 degrees
Fractional coordinates of all 10 atoms:
Rb1 0.5139 0.7105 0.8665
Rb2 0.1966 0.7105 0.3665
Rb3 0.8034 0.2895 0.6335
Rb4 0.4861 0.2895 0.1335
Na1 0.9076 0.0000 0.2500
Na2 0.0924 0.0000 0.7500
Pb1 0.0183 0.7030 0.9979
Pb2 0.6847 0.7030 0.4979
Pb3 0.3153 0.2970 0.5021
Pb4 0.9817 0.2970 0.0021



*ii* is favored, and the nearest alternative lies 151 meV/atom above it.



*i*
Entry from the Alexandria database: a relaxed Rb2NaPb2 crystal (PBE).

Computed properties:
As for the crystal system: tetragonal. The density of states at the Fermi level comes out at 2.74 states/eV/f.u.

Cell lengths 11.0056, 11.0056, 3.6915 Å; angles 90.00, 90.00, 90.00 degrees
Fractional coordinates of all 10 atoms:
Rb1 0.3040 0.8040 0.0000
Rb2 0.1960 0.3040 0.0000
Rb3 0.6960 0.1960 0.0000
Rb4 0.8040 0.6960 0.0000
Na1 0.0000 0.0000 0.0000
Na2 0.5000 0.5000 0.0000
Pb1 0.9022 0.4022 0.5000
Pb2 0.4022 0.0978 0.5000
Pb3 0.5978 0.9022 0.5000
Pb4 0.0978 0.5978 0.5000



*ii*
Entry from the Alexandria database: a relaxed Rb2NaPb2 crystal (PBE).

Computed properties:
As for the crystal system: tetragonal. The density of states at the Fermi level comes out at 5.48 states/eV/f.u.

Cell lengths 8.9088, 8.9088, 5.8309 Å; angles 90.00, 90.00, 90.00 degrees
Fractional coordinates of all 10 atoms:
Na1 0.0000 0.0000 0.0000
Na2 0.5000 0.5000 0.0000
Pb1 0.1158 0.3842 0.0000
Pb2 0.6158 0.1158 0.0000
Pb3 0.8842 0.6158 0.0000
Pb4 0.3842 0.8842 0.0000
Rb1 0.3196 0.1804 0.5000
Rb2 0.8196 0.3196 0.5000
Rb3 0.1804 0.6804 0.5000
Rb4 0.6804 0.8196 0.5000



*ii* is favored, and the nearest alternative lies 72 meV/atom above it.



*i*
Entry from the Alexandria database: a relaxed RbNa4Pb crystal (PBE).

Computed properties:
As for the crystal system: orthorhombic. The density of states at the Fermi level comes out at 3.83 states/eV/f.u.

Cell lengths 8.0385, 8.0385, 9.9994 Å; angles 66.26, 66.26, 89.92 degrees
Fractional coordinates of all 12 atoms:
Na1 0.3345 0.5045 0.6610
Na2 0.6655 0.4955 0.3390
Na3 0.9955 0.1655 0.3390
Na4 0.1656 0.6656 0.3392
Na5 0.4952 0.9952 0.3392
Na6 0.8344 0.3344 0.6608
Na7 0.0045 0.8345 0.6610
Na8 0.5048 0.0048 0.6609
Rb1 0.5000 0.5000 0.0000
Rb2 0.0000 0.0000 0.0000
Pb1 0.7500 0.7500 0.5000
Pb2 0.2500 0.2500 0.5000



*ii*
Entry from the Alexandria database: a relaxed RbNa4Pb crystal (PBE).

Computed properties:
As for the crystal system: cubic. The density of states at the Fermi level comes out at 3.13 states/eV/f.u.

Cell lengths 6.7436, 6.7436, 6.7436 Å; angles 60.00, 60.00, 60.00 degrees
Fractional coordinates of all 6 atoms:
Pb1 0.0000 0.0000 0.0000
Rb1 0.2500 0.2500 0.2500
Na1 0.6273 0.6273 0.6273
Na2 0.1180 0.6273 0.6273
Na3 0.6273 0.1180 0.6273
Na4 0.6273 0.6273 0.1180



*iii*
Entry from the Alexandria database: a relaxed RbNa4Pb crystal (PBE).

Computed properties:
As for the crystal system: monoclinic. The density of states at the Fermi level comes out at 3.38 states/eV/f.u.

Cell lengths 9.5818, 6.3217, 9.3099 Å; angles 80.49, 120.98, 90.03 degrees
Fractional coordinates of all 12 atoms:
Na1 0.5595 0.7842 0.2327
Na2 0.8944 0.9308 0.5998
Na3 0.4405 0.2158 0.7673
Na4 0.2942 0.5694 0.4002
Na5 0.6730 0.2843 0.2325
Na6 0.1056 0.0692 0.4002
Na7 0.7058 0.4306 0.5998
Na8 0.3270 0.7157 0.7675
Pb1 0.5000 0.0000 0.5000
Pb2 0.0000 0.5000 0.5000
Rb1 0.1842 0.2499 0.0002
Rb2 0.8158 0.7501 0.9998



*iii* is favored, and the nearest alternative lies 12 meV/atom above it.